(1)
# Ti3Nb4W2

A geometry-optimized Ti3Nb4W2 structure (PBE-GGA, Alexandria).

```
Ti3Nb4W2
1.0
3.186 0.000 -0.686
-0.432 6.958 -2.006
-0.160 0.116 6.998
Nb Ti W
4 3 2
direct
0.216 0.329 0.432
0.450 0.659 0.900
0.784 0.671 0.568
0.550 0.341 0.100
0.000 0.000 0.000
0.882 0.303 0.765
0.118 0.697 0.235
0.330 0.990 0.660
0.670 0.010 0.340
```

Calculated values
As for the total energy: -9.97 eV per atom. Its symmetry is C2/m, No. 12.


(2)
# TiNb6W

A geometry-optimized TiNb6W structure (PBE-GGA, Alexandria).

```
TiNb6W
1.0
5.694 -0.835 -0.945
-1.452 5.569 -0.945
-1.452 -1.621 5.411
Nb Ti W
6 1 1
direct
0.748 0.251 0.251
0.251 0.251 0.748
0.749 0.252 0.749
0.251 0.748 0.251
0.252 0.749 0.749
0.749 0.749 0.252
0.000 0.000 0.000
0.500 0.500 0.500
```

Calculated values
Its offset from the most stable computed form is 190 meV/atom. As for the total energy: -9.98 eV per atom. Its symmetry is R-3m, No. 166.


(3)
# Ti5Nb4W

A geometry-optimized Ti5Nb4W structure (PBE-GGA, Alexandria).

```
Ti5Nb4W
1.0
-2.573 -1.818 3.422
-1.482 -5.749 -4.169
6.268 0.514 1.825
Nb Ti W
4 5 1
direct
0.036 0.723 0.071
0.964 0.277 0.929
0.315 0.081 0.630
0.685 0.919 0.370
0.769 0.374 0.538
0.131 0.163 0.263
0.500 0.500 0.000
0.231 0.626 0.461
0.869 0.837 0.737
0.500 0.000 0.000
```

Calculated values
As for the total energy: -8.95 eV per atom. Its symmetry is C2/m, No. 12.


(4)
# Ti2NbW6

A geometry-optimized Ti2NbW6 structure (PBE-GGA, Alexandria).

```
Ti2NbW6
1.0
2.800 0.000 0.000
-1.400 2.425 0.000
0.000 0.000 22.397
Ti W Nb
2 6 1
direct
0.667 0.333 0.333
0.667 0.333 0.667
0.667 0.333 0.886
0.667 0.333 0.114
0.333 0.667 0.558
0.333 0.667 0.442
0.333 0.667 0.224
0.333 0.667 0.776
0.333 0.667 0.000
```

Calculated values
Its offset from the most stable computed form is 171 meV/atom. As for the total energy: -11.05 eV per atom. Its symmetry is P-6m2, No. 187.


(5)
# TiNb2W

A geometry-optimized TiNb2W structure (PBE-GGA, Alexandria).

```
TiNb2W
1.0
3.254 0.000 0.000
0.000 4.598 0.000
0.000 0.000 4.598
Nb W Ti
2 1 1
direct
0.000 0.000 0.500
0.000 0.500 0.000
0.500 0.500 0.500
0.500 0.000 0.000
```

Calculated values
Its offset from the most stable computed form is 10 meV/atom. As for the total energy: -10.25 eV per atom. Its symmetry is P4/mmm, No. 123.


(6)
# TiNbW6

A geometry-optimized TiNbW6 structure (PBE-GGA, Alexandria).

```
TiNbW6
1.0
4.504 0.000 0.000
0.000 5.098 -2.156
0.000 0.324 5.525
W Ti Nb
6 1 1
direct
0.500 0.376 0.127
0.000 0.123 0.372
0.500 0.873 0.624
0.000 0.628 0.877
0.000 0.626 0.374
0.500 0.876 0.124
0.000 0.124 0.876
0.500 0.374 0.626
```

Calculated values
As for the total energy: -12.03 eV per atom. Its symmetry is Amm2, No. 38.


(7)
# TiNbW4

A geometry-optimized TiNbW4 structure (PBE-GGA, Alexandria).

```
TiNbW4
1.0
-2.792 -2.761 2.198
3.286 -0.981 2.941
-0.026 5.059 1.715
Ti W Nb
1 4 1
direct
0.000 0.000 0.000
0.673 0.000 0.345
0.830 0.500 0.660
0.170 0.500 0.340
0.327 0.000 0.655
0.500 0.500 0.000
```

Calculated values
Its offset from the most stable computed form is 0 meV/atom. As for the total energy: -11.70 eV per atom. Its symmetry is Cmmm, No. 65.


(8)
# Ti6Nb2W

A geometry-optimized Ti6Nb2W structure (PBE-GGA, Alexandria).

```
Ti6Nb2W
1.0
4.716 -0.816 -0.066
-0.915 8.356 4.268
-1.926 2.135 8.978
Ti Nb W
12 4 2
direct
0.360 0.000 0.161
0.303 0.661 0.500
0.087 0.088 0.588
0.140 0.839 0.000
0.587 0.588 0.088
0.913 0.912 0.412
0.413 0.412 0.912
0.860 0.161 0.000
0.197 0.500 0.339
0.803 0.500 0.661
0.640 0.000 0.839
0.697 0.339 0.500
0.574 0.833 0.667
0.426 0.167 0.333
0.074 0.667 0.833
0.926 0.333 0.167
0.750 0.750 0.250
0.250 0.250 0.750
```

Calculated values
Its offset from the most stable computed form is 0 meV/atom. As for the total energy: -8.85 eV per atom. Its symmetry is Ibam, No. 72.


(9)
# TiNb2W2

A geometry-optimized TiNb2W2 structure (PBE-GGA, Alexandria).

```
TiNb2W2
1.0
4.158 0.000 0.000
0.000 4.158 0.000
2.079 2.079 5.732
Nb W Ti
2 2 1
direct
0.750 0.250 0.500
0.250 0.750 0.500
0.393 0.393 0.214
0.607 0.607 0.786
0.000 0.000 0.000
```

Calculated values
Its offset from the most stable computed form is 431 meV/atom. As for the total energy: -9.94 eV per atom. Its symmetry is I4/mmm, No. 139.


(10)
# Ti6Nb2W

A geometry-optimized Ti6Nb2W structure (PBE-GGA, Alexandria).

```
Ti6Nb2W
1.0
2.773 0.000 0.000
1.387 7.128 0.137
1.387 1.534 7.951
Nb W Ti
2 1 6
direct
0.665 0.994 0.675
0.335 0.006 0.325
0.000 0.000 0.000
0.389 0.668 0.554
0.052 0.663 0.234
0.948 0.337 0.766
0.771 0.346 0.111
0.229 0.654 0.889
0.611 0.332 0.446
```

Calculated values
Its offset from the most stable computed form is 49 meV/atom. As for the total energy: -8.80 eV per atom. Its symmetry is C2/m, No. 12.


(11)
# Ti4Nb4W

A geometry-optimized Ti4Nb4W structure (PBE-GGA, Alexandria).

```
Ti4Nb4W
1.0
-4.885 4.885 1.642
4.885 -4.885 1.642
4.885 4.885 -1.642
Nb Ti W
4 4 1
direct
0.499 0.166 0.665
0.501 0.834 0.335
0.166 0.501 0.666
0.834 0.499 0.334
0.843 0.157 0.000
0.157 0.157 0.314
0.157 0.843 0.000
0.843 0.843 0.686
0.500 0.500 0.000
```

Calculated values
As for the total energy: -9.41 eV per atom. Its symmetry is I4/m, No. 87.


(12)
# Ti2Nb4W3

A geometry-optimized Ti2Nb4W3 structure (PBE-GGA, Alexandria).

```
Ti2Nb4W3
1.0
2.295 3.975 -0.144
-2.295 3.975 -0.144
0.000 0.312 8.397
Nb Ti W
4 2 3
direct
0.333 0.333 0.891
0.000 0.000 0.667
0.000 0.000 0.333
0.667 0.667 0.109
0.667 0.667 0.770
0.333 0.333 0.230
0.000 0.000 0.000
0.333 0.333 0.557
0.667 0.667 0.443
```

Calculated values
As for the total energy: -10.58 eV per atom. Its symmetry is P-3m1, No. 164.